Record 1
Density functional theory data (PBE-GGA) for a relaxed Sm2CoI crystal.

a = 4.0187 Å, b = 4.0187 Å, c = 8.3535 Å
α = 76.08°, β = 76.08°, γ = 60.00°
Sites, in units of the cell vectors:
Co (0.0000, 0.0000, 0.0000)
Sm (0.7269, 0.7269, 0.8193)
Sm (0.2731, 0.2731, 0.1807)
I (0.5000, 0.5000, 0.5000)

Properties
SG ... No. 166
Volume ... 112 Å³/cell
ΔE_f (raw) ... -0.58 eV per atom

Record 2
Density functional theory data (PBE-GGA) for a relaxed ZrTl2As crystal.

a = 5.5089 Å, b = 5.5089 Å, c = 5.4260 Å
α = 67.52°, β = 67.52°, γ = 39.82°
Sites, in units of the cell vectors:
Tl (0.9913, 0.9913, 0.9688)
Tl (0.7604, 0.7604, 0.7719)
As (0.2248, 0.2248, 0.3656)
Zr (0.5235, 0.5235, 0.3937)

Properties
Energy of formation ... -0.091 eV/atom
SG ... No. 8
Volume ... 96 Å³/cell

no.,Fermi-level density of states (states/eV per atom)
1,0.27
2,0.51